1.
A relaxed structure of U3Tl3BiSe8. Source: the Alexandria database, functional PBE.

abc: 8.3644 8.3662 9.2276
angles: 116.97 90.00 119.99
Each line ends with the local moment (μB).
Fractional positions:
Se 0.7247 0.9660 0.7070  -0.04
Se 0.2647 0.5293 0.2943  -0.05
Se 0.2414 0.4828 0.7070  -0.04
U 0.5000 0.0000 0.5000  2.51
Tl 0.0000 0.0000 0.0000  0.00
Se 0.2413 0.9660 0.7070  -0.04
Tl 0.5000 0.5000 0.0000  0.00
Se 0.7586 0.5172 0.2930  -0.04
Bi 0.0000 0.0000 0.5000  0.05
Se 0.2753 0.0340 0.2930  -0.04
Se 0.7587 0.0340 0.2930  -0.04
Se 0.7353 0.4707 0.7057  -0.05
Tl 0.0000 0.5000 0.0000  0.00
U 0.0000 0.5000 0.5000  2.51
U 0.5000 0.5000 0.5000  2.51

Total moment, μB/f.u.: 8.0
Fermi-level density of states, states/eV/atom: 1.078
Formation energy without anion corrections, eV/atom: -0.8186
SG: No. 166

***

2.
A relaxed structure of UTl2BiSe4. Source: the Alexandria database, functional PBE.

abc: 4.2632 7.4296 8.1417
angles: 107.31 90.00 90.00
Each line ends with the local moment (μB).
Fractional positions:
U 0.5000 0.5000 0.0000  -2.58
Se 0.0000 0.7269 0.2070  0.03
Tl 0.0000 0.5000 0.5000  -0.01
Se 0.5000 0.7565 0.7891  0.02
Se 0.0000 0.2731 0.7930  0.03
Tl 0.5000 0.0000 0.5000  0.00
Se 0.5000 0.2435 0.2109  0.02
Bi 0.0000 0.0000 0.0000  -0.06

Total moment, μB/f.u.: 2.8
Fermi-level density of states, states/eV/atom: 0.782
Formation energy without anion corrections, eV/atom: -0.6507
SG: No. 10

***

3.
A relaxed structure of UTl2Bi2Se6. Source: the Alexandria database, functional PBE.

abc: 7.3411 7.3411 8.1721
angles: 98.86 98.86 120.04
Each line ends with the local moment (μB).
Fractional positions:
Tl 0.8319 0.1681 0.0000  0.00
Se 0.2477 0.2477 0.2916  -0.04
Tl 0.1681 0.8319 0.0000  0.00
Se 0.9299 0.6083 0.2920  -0.03
Bi 0.6686 0.3314 0.5000  0.02
Se 0.7523 0.7523 0.7084  -0.04
Se 0.6083 0.9299 0.2920  -0.03
Se 0.3917 0.0701 0.7080  -0.03
U 0.0000 0.0000 0.5000  2.10
Bi 0.3314 0.6686 0.5000  0.02
Se 0.0701 0.3917 0.7080  -0.03

Total moment, μB/f.u.: 2.0
Fermi-level density of states, states/eV/atom: 0.669
Formation energy without anion corrections, eV/atom: -0.6372
SG: No. 12

***

4.
A relaxed structure of YTl2BiSe4. Source: the Alexandria database, functional PBE.

abc: 4.2465 7.3898 8.0852
angles: 107.63 90.00 90.00
Fractional positions:
Tl 0.5000 0.0000 0.5000
Y 0.5000 0.5000 0.0000
Se 0.5000 0.7554 0.7883
Tl 0.0000 0.5000 0.5000
Se 0.5000 0.2446 0.2117
Bi 0.0000 0.0000 0.0000
Se 0.0000 0.2709 0.7931
Se 0.0000 0.7291 0.2069

Total moment, μB/f.u.: 0.0
Formation energy without anion corrections, eV/atom: -0.9218
SG: No. 10

***

5.
A relaxed structure of YTl3Bi3Se8. Source: the Alexandria database, functional PBE.

abc: 8.5019 8.4940 8.9312
angles: 118.32 90.00 120.03
Fractional positions:
Y 0.0000 0.0000 0.5000
Se 0.2584 0.5168 0.2751
Bi 0.5000 0.5000 0.5000
Bi 0.0000 0.5000 0.5000
Tl 0.0000 0.0000 0.0000
Se 0.7461 0.9820 0.7181
Bi 0.5000 0.0000 0.5000
Se 0.2539 0.0180 0.2819
Se 0.7639 0.5277 0.2816
Se 0.2359 0.9820 0.7181
Se 0.2361 0.4723 0.7184
Se 0.7641 0.0180 0.2819
Se 0.7416 0.4832 0.7249
Tl 0.0000 0.5000 0.0000
Tl 0.5000 0.5000 0.0000

Total moment, μB/f.u.: 0.0
Fermi-level density of states, states/eV/atom: 0.494
Formation energy without anion corrections, eV/atom: -0.6438
SG: No. 12

***

6.
A relaxed structure of Y3Tl4BiSe8. Source: the Alexandria database, functional PBE.

abc: 8.4451 9.1517 8.4458
angles: 117.49 120.00 90.00
Fractional positions:
Y 0.0000 0.5000 0.5000
Y 0.5000 0.5000 0.0000
Se 0.2392 0.7076 0.4785
Se 0.2652 0.2959 0.5305
Se 0.7348 0.7041 0.4695
Se 0.7608 0.2924 0.5215
Tl 0.0000 0.0000 0.0000
Se 0.7606 0.2924 0.0315
Y 0.5000 0.5000 0.5000
Tl 0.5000 0.0000 0.0000
Se 0.7291 0.7076 0.9685
Se 0.2394 0.7076 0.9685
Tl 0.0000 0.0000 0.5000
Bi 0.0000 0.5000 0.0000
Se 0.2709 0.2924 0.0315
Tl 0.5000 0.0000 0.5000

Total moment, μB/f.u.: 0.0
Formation energy without anion corrections, eV/atom: -1.1579
SG: No. 166

***

7.
A relaxed structure of Y4TlBiSe2. Source: the Alexandria database, functional PBE.

abc: 4.1817 7.5394 7.3714
angles: 71.59 90.00 90.00
Fractional positions:
Y 0.0000 0.2344 0.2602
Se 0.0000 0.0000 0.0000
Tl 0.0000 0.5000 0.5000
Y 0.5000 0.2330 0.7546
Bi 0.5000 0.5000 0.0000
Y 0.0000 0.7656 0.7398
Y 0.5000 0.7670 0.2454
Se 0.5000 0.0000 0.5000

Total moment, μB/f.u.: 0.0
Fermi-level density of states, states/eV/atom: 0.449
Formation energy without anion corrections, eV/atom: -1.1610
SG: No. 10

***

8.
A relaxed structure of Y2Tl3BiSe6. Source: the Alexandria database, functional PBE.

abc: 7.3346 7.3346 8.1067
angles: 98.67 98.67 120.01
Fractional positions:
Se 0.4101 0.0692 0.2076
Bi 0.0000 0.0000 0.0000
Se 0.7282 0.7282 0.2075
Se 0.9308 0.5899 0.7924
Se 0.5899 0.9308 0.7924
Tl 0.5000 0.5000 0.5000
Se 0.2718 0.2718 0.7925
Y 0.6668 0.3332 0.0000
Y 0.3332 0.6668 0.0000
Tl 0.8338 0.1662 0.5000
Tl 0.1662 0.8338 0.5000
Se 0.0692 0.4101 0.2076

Total moment, μB/f.u.: 0.0
Formation energy without anion corrections, eV/atom: -1.0798
SG: No. 12

***

9.
A relaxed structure of YTl3Bi2Se6. Source: the Alexandria database, functional PBE.

abc: 7.4077 7.4077 8.0691
angles: 98.80 98.80 120.00
Fractional positions:
Bi 0.3336 0.6664 0.0000
Se 0.7442 0.7442 0.2109
Bi 0.6664 0.3336 0.0000
Tl 0.1673 0.8327 0.5000
Se 0.6034 0.9296 0.7888
Se 0.0704 0.3966 0.2112
Se 0.9296 0.6034 0.7888
Y 0.0000 0.0000 0.0000
Tl 0.5000 0.5000 0.5000
Se 0.3966 0.0704 0.2112
Tl 0.8327 0.1673 0.5000
Se 0.2558 0.2558 0.7891

Total moment, μB/f.u.: 0.0
Formation energy without anion corrections, eV/atom: -0.7654
SG: No. 12

***

10.
A relaxed structure of Tl3ZnBi3Se8. Source: the Alexandria database, functional PBE.

abc: 8.4103 8.3992 8.7274
angles: 118.67 90.03 120.01
Fractional positions:
Se 0.2362 0.0114 0.2862
Se 0.7751 0.5502 0.2863
Bi 0.5000 0.0000 0.5000
Se 0.2249 0.4498 0.7137
Se 0.2257 0.9886 0.7146
Zn 0.0000 0.0000 0.5000
Se 0.7638 0.9886 0.7138
Se 0.7743 0.0114 0.2854
Tl 0.0000 0.0000 0.0000
Se 0.2563 0.5125 0.2685
Tl 0.0000 0.5000 0.0000
Se 0.7437 0.4875 0.7315
Tl 0.5000 0.5000 0.0000
Bi 0.5000 0.5000 0.5000
Bi 0.0000 0.5000 0.5000

Total moment, μB/f.u.: 0.0
Fermi-level density of states, states/eV/atom: 0.651
Formation energy without anion corrections, eV/atom: -0.3381
SG: No. 12

***

11.
A relaxed structure of ZrTl3Bi3Se8. Source: the Alexandria database, functional PBE.

abc: 8.3999 8.4001 9.1628
angles: 117.29 90.00 120.00
Fractional positions:
Se 0.7766 0.5531 0.2970
Se 0.7390 0.4780 0.7178
Se 0.2234 0.9799 0.7025
Zr 0.0000 0.0000 0.5000
Bi 0.5000 0.5000 0.5000
Se 0.2435 0.0201 0.2975
Se 0.2610 0.5220 0.2822
Bi 0.0000 0.5000 0.5000
Se 0.7565 0.9799 0.7025
Tl 0.0000 0.0000 0.0000
Tl 0.5000 0.5000 0.0000
Tl 0.0000 0.5000 0.0000
Se 0.7766 0.0201 0.2975
Se 0.2234 0.4469 0.7030
Bi 0.5000 0.0000 0.5000

Total moment, μB/f.u.: 0.0
Formation energy without anion corrections, eV/atom: -0.6291
SG: No. 166

***

12.
A relaxed structure of Tm5BiSe5. Source: the Alexandria database, functional PBE.

abc: 5.8242 7.0549 8.1861
angles: 106.56 90.00 114.38
Fractional positions:
Tm 0.1687 0.3373 0.8191
Tm 0.8294 0.6588 0.6518
Tm 0.1706 0.3412 0.3482
Tm 0.5000 0.0000 0.0000
Tm 0.8313 0.6627 0.1809
Se 0.6618 0.3237 0.3345
Se 0.3382 0.6763 0.6655
Se 0.6709 0.3418 0.8382
Se 0.3291 0.6582 0.1618
Bi 0.0000 0.0000 0.0000
Se 0.0000 0.0000 0.5000

Total moment, μB/f.u.: 0.0
Fermi-level density of states, states/eV/atom: 0.325
Formation energy without anion corrections, eV/atom: -1.5783
SG: No. 12

***

13.
A relaxed structure of TmBiSe. Source: the Alexandria database, functional PBE.

abc: 6.1830 4.2698 7.6098
angles: 90.00 73.67 90.00
Fractional positions:
Se 0.3117 0.7500 0.3941
Bi 0.1131 0.2500 0.0942
Tm 0.4047 0.7500 0.7265
Se 0.6883 0.2500 0.6059
Bi 0.8869 0.7500 0.9058
Tm 0.5953 0.2500 0.2735

Total moment, μB/f.u.: 0.0
Formation energy without anion corrections, eV/atom: -1.0079
SG: No. 11

***

14.
A relaxed structure of Tm2BiSe. Source: the Alexandria database, functional PBE.

abc: 4.1551 4.1551 7.6014
angles: 74.14 74.14 60.00
Fractional positions:
Tm 0.2575 0.2575 0.2276
Se 0.6693 0.6693 0.9921
Tm 0.0743 0.0743 0.7771
Bi 0.4989 0.4989 0.5032

Total moment, μB/f.u.: 0.0
Fermi-level density of states, states/eV/atom: 0.646
Formation energy without anion corrections, eV/atom: -1.1518
Polymorph energy (0 for the lowest one), meV/atom: 43.6
SG: No. 160

***

15.
A relaxed structure of Tm5BiSe4. Source: the Alexandria database, functional PBE.

abc: 4.1309 5.8146 10.8007
angles: 105.62 101.02 90.00
Fractional positions:
Tm 0.0000 0.5000 0.0000
Tm 0.3896 0.8896 0.7792
Se 0.6010 0.6010 0.2020
Se 0.7951 0.7951 0.5901
Se 0.3990 0.3990 0.7980
Tm 0.6104 0.1104 0.2208
Bi 0.0000 0.0000 0.0000
Tm 0.8011 0.3011 0.6022
Tm 0.1989 0.6989 0.3978
Se 0.2049 0.2049 0.4099

Total moment, μB/f.u.: 0.0
Fermi-level density of states, states/eV/atom: 0.419
Formation energy without anion corrections, eV/atom: -1.4520
SG: No. 71

***

16.
A relaxed structure of Tm6Bi2Se. Source: the Alexandria database, functional PBE.

abc: 6.5056 7.8284 10.0794
angles: 90.00 91.92 90.00
Fractional positions:
Tm 0.1405 0.3318 0.4540
Tm 0.6405 0.1682 0.9540
Tm 0.6405 0.4753 0.2678
Tm 0.3595 0.5247 0.7322
Tm 0.8595 0.6682 0.5460
Bi 0.9124 0.3814 0.7600
Tm 0.1380 0.3004 0.0443
Tm 0.1405 0.0247 0.7678
Tm 0.3620 0.8004 0.4557
Se 0.5000 0.5000 0.0000
Se 0.0000 0.0000 0.5000
Bi 0.5876 0.8814 0.7400
Bi 0.4124 0.1186 0.2600
Tm 0.8620 0.6996 0.9557
Tm 0.8595 0.9753 0.2322
Bi 0.0876 0.6186 0.2400
Tm 0.6380 0.1996 0.5443
Tm 0.3595 0.8318 0.0460

Total moment, μB/f.u.: 0.0
Fermi-level density of states, states/eV/atom: 0.934
Formation energy without anion corrections, eV/atom: -0.6825
SG: No. 14

***

17.
A relaxed structure of Tm6Bi5Se. Source: the Alexandria database, functional PBE.

abc: 7.5670 7.5753 7.5616
angles: 59.94 80.38 70.51
Fractional positions:
Tm 0.2426 0.5968 0.3229
Bi 0.5000 0.5000 0.0000
Tm 0.7574 0.4032 0.6771
Tm 0.7491 0.7607 0.0000
Bi 0.5000 0.1716 0.6568
Bi 0.0000 0.6654 0.6692
Tm 0.2426 0.9197 0.6771
Bi 0.0000 0.3346 0.3308
Tm 0.2509 0.2393 0.0000
Bi 0.5000 0.8284 0.3432
Se 0.0000 0.0000 0.0000
Tm 0.7574 0.0803 0.3229

Total moment, μB/f.u.: 0.0
Fermi-level density of states, states/eV/atom: 0.241
Formation energy without anion corrections, eV/atom: -0.9208
SG: No. 12

***

18.
A relaxed structure of Tm4BiSe3. Source: the Alexandria database, functional PBE.

abc: 4.1180 7.1524 7.1524
angles: 70.77 90.00 90.00
Fractional positions:
Tm 0.0000 0.7716 0.7284
Se 0.9999 0.5001 0.5000
Tm 0.0000 0.2286 0.2715
Se 0.9999 0.0001 0.0000
Tm 0.4997 0.2401 0.7400
Tm 0.5002 0.7601 0.2600
Se 0.5000 0.0001 0.5000
Bi 0.5000 0.5001 0.0000

Total moment, μB/f.u.: 0.0
Fermi-level density of states, states/eV/atom: 0.400
Formation energy without anion corrections, eV/atom: -1.4165
SG: No. 65

***

19.
A relaxed structure of Tm2BiSe. Source: the Alexandria database, functional PBE.

abc: 4.2254 4.2254 7.3270
angles: 90.04 106.73 119.99
Fractional positions:
Tm 0.5153 0.2574 0.7727
Se 0.0000 0.0000 0.0000
Bi 0.0000 0.5000 0.5000
Tm 0.4847 0.7426 0.2273

Total moment, μB/f.u.: 0.0
Fermi-level density of states, states/eV/atom: 0.488
Formation energy without anion corrections, eV/atom: -1.1954
Polymorph energy (0 for the lowest one), meV/atom: 0.0
SG: No. 166

***

20.
A relaxed structure of Tm6Bi3Se. Source: the Alexandria database, functional PBE.

abc: 7.1014 9.4158 9.4158
angles: 102.26 90.00 90.00
Each line ends with the local moment (μB).
Fractional positions:
Bi 0.8284 0.6009 0.3991  0.00
Tm 0.6734 0.6004 0.7115  0.10
Bi 0.3284 0.3991 0.6009  0.00
Tm 0.7616 0.9915 0.0085  0.01
Bi 0.5071 0.2789 0.0878  0.00
Se 0.0004 0.1527 0.8473  0.00
Tm 0.6569 0.2438 0.7562  0.05
Bi 0.0071 0.0878 0.2789  0.00
Tm 0.6885 0.5744 0.0809  0.07
Tm 0.6734 0.2885 0.3996  0.10
Tm 0.2616 0.0085 0.9915  0.01
Bi 0.5071 0.9122 0.7211  0.00
Bi 0.0071 0.7211 0.9122  0.00
Tm 0.1734 0.3996 0.2885  0.10
Tm 0.1885 0.0809 0.5744  0.07
Tm 0.1569 0.7562 0.2438  0.05
Tm 0.1734 0.7115 0.6004  0.10
Tm 0.6885 0.9191 0.4256  0.07
Se 0.5004 0.8473 0.1527  0.00
Tm 0.1885 0.4256 0.9191  0.07

Total moment, μB/f.u.: 0.6
Fermi-level density of states, states/eV/atom: 1.045
Formation energy without anion corrections, eV/atom: -0.6331
SG: No. 36

***

21.
A relaxed structure of TmBiSe. Source: the Alexandria database, functional PBE.

abc: 3.6705 3.6705 6.5442
angles: 106.29 106.29 90.00
Fractional positions:
Bi 0.0070 0.0070 0.0139
Tm 0.7005 0.7005 0.4010
Se 0.2926 0.2926 0.5851

Total moment, μB/f.u.: 0.0
Fermi-level density of states, states/eV/atom: 0.715
Formation energy without anion corrections, eV/atom: -0.9659
SG: No. 107